A plane-wave DFT calculation with PBE was carried out for ScBeRe2F after structural relaxation.

Summary:
Electronic total energy ... -6.855 eV/atom
Symmetry ... P4/mmm (123)
N(E_F) ... 1.1073 states/eV/atom
M_tot ... 1.33 μB/cell

Lattice parameters (Å, degrees): 4.621 3.281 4.621 90.00 90.00 90.00
Sites, in units of the cell vectors:
Sc1 0.500 0.500 0.500
Re1 0.000 0.000 0.500
Re2 0.500 0.000 0.000
Be1 0.000 0.500 0.000
F1 0.000 0.000 0.000